# 1
Density functional theory data (GGA-PBE) for crystalline CsK2CdF at its relaxed geometry.

Calculated values
Its total energy is -10.96 eV per formula unit. The space group is P4/mmm (123). The raw formation energy comes out at -494 kJ/mol of formula units.

```
CsK2CdF
1.0
5.621 0.000 0.000
0.000 5.621 0.000
0.000 0.000 6.069
Cs K Cd F
1 2 1 1
Direct
0.000 0.000 0.000
0.000 0.500 0.500
0.500 0.000 0.500
0.500 0.500 0.000
0.000 0.000 0.500
```

=====

# 2
Density functional theory data (GGA-PBE) for crystalline Ca5MgCd2 at its relaxed geometry.

Calculated values
Its total energy is -14.82 eV per formula unit. The space group is Pbam (55).

```
Ca5MgCd2
1.0
6.962 0.000 0.000
0.000 13.522 0.000
0.000 0.000 5.441
Ca Mg Cd
10 2 4
Direct
0.000 0.000 0.000
0.134 0.270 0.000
0.174 0.613 0.500
0.326 0.113 0.500
0.366 0.770 0.000
0.500 0.500 0.000
0.634 0.230 0.000
0.674 0.887 0.500
0.826 0.387 0.500
0.866 0.730 0.000
0.000 0.500 0.000
0.500 0.000 0.000
0.163 0.871 0.500
0.337 0.371 0.500
0.663 0.629 0.500
0.837 0.129 0.500
```